An optimized crystal structure of KTiNiF6, computed with GGA+U.

a = 5.4427 Å, b = 5.4427 Å, c = 11.1881 Å
α = 90.00°, β = 90.00°, γ = 120.00°
Space group P-31c (No. 163)
Asymmetric unit:
K1 0.0000 0.0000 0.0000 x2
Ti1 0.3333 0.6667 0.2500 x2
Ni1 0.3333 0.6667 0.7500 x2
F1 0.0048 0.3789 0.1541 x12

Values from the calculation:
The mass density is 3.00 g cm⁻³. As for the uncorrected energy: -5.38 eV/atom.